The following is a DFT calculation (PBE) of a relaxed CeBeRh crystal.

ρ: 8.31 g/cm3
final energy: -73.874 eV/cell
formation energy: -46.86 kJ/mol of atoms

Lattice parameters (Å, degrees): 9.4446 4.2670 6.6854 90.00 131.59 90.00
Space group C2/m (No. 12)
Unique sites:
Ce  0.2486  0.0000  0.1631 [4 per cell]
Be  0.0676  0.0000  0.4091 [4 per cell]
Rh  0.1077  0.5000  0.3023 [4 per cell]